1.
# PBE-GGA KCN, relaxed
data_KCN
_chemical_formula_sum 'K2 C2 N2'
_cell_length_a 6.3032
_cell_length_b 6.3032
_cell_length_c 7.6660
_cell_angle_alpha 51.67
_cell_angle_beta 51.67
_cell_angle_gamma 38.32
_space_group_name_H-M_alt 'P 1'
_space_group_IT_number 1
loop_
_space_group_symop_operation_xyz
'x,y,z'
loop_
_atom_site_label
_atom_site_type_symbol
_atom_site_fract_x
_atom_site_fract_y
_atom_site_fract_z
K1 K 0.9123 0.9121 0.0796
K2 K 0.9121 0.9123 0.5796
C1 C 0.1772 0.1771 0.5550
C2 C 0.1771 0.1772 0.0550
N1 N 0.3075 0.3079 0.4414
N2 N 0.3079 0.3075 0.9414
# * calculated total energy: -6.463 eV per atom
# * formation energy without anion corrections: -23.89 kJ/mol of atoms
# * size of the total moment: 0.000 μB/atom
# * crystal system: monoclinic

---

2.
# PBE-GGA KC2N, relaxed
data_KC2N
_chemical_formula_sum 'K2 C4 N2'
_cell_length_a 5.2892
_cell_length_b 5.2892
_cell_length_c 5.1078
_cell_angle_alpha 58.82
_cell_angle_beta 58.82
_cell_angle_gamma 90.00
_space_group_name_H-M_alt 'P 1'
_space_group_IT_number 1
loop_
_space_group_symop_operation_xyz
'x,y,z'
loop_
_atom_site_label
_atom_site_type_symbol
_atom_site_fract_x
_atom_site_fract_y
_atom_site_fract_z
K1 K 0.0000 0.0000 0.0000
K2 K 0.7500 0.2500 0.5000
C1 C 0.4681 0.1250 0.2500
C2 C 0.2819 0.6250 0.2500
C3 C 0.3750 0.5319 0.7500
C4 C 0.8750 0.7181 0.7500
N1 N 0.5000 0.5000 0.0000
N2 N 0.2500 0.7500 0.5000
# * calculated total energy: -4.670 eV per atom
# * formation energy without anion corrections: 221.67 kJ/mol of atoms
# * size of the total moment: 0.000 μB/atom
# * crystal system: tetragonal

---

3.
# PBE-GGA KNiCN2, relaxed
data_KNiCN2
_chemical_formula_sum 'K2 Ni2 C2 N4'
_cell_length_a 5.1360
_cell_length_b 5.0907
_cell_length_c 6.0045
_cell_angle_alpha 95.19
_cell_angle_beta 90.00
_cell_angle_gamma 90.00
_space_group_name_H-M_alt 'P 1'
_space_group_IT_number 1
loop_
_space_group_symop_operation_xyz
'x,y,z'
loop_
_atom_site_label
_atom_site_type_symbol
_atom_site_fract_x
_atom_site_fract_y
_atom_site_fract_z
K1 K 0.1905 0.5000 0.7500
K2 K 0.8095 0.5000 0.2500
Ni1 Ni 0.4899 0.0000 0.2500
Ni2 Ni 0.5101 0.0000 0.7500
C1 C 0.0000 0.0000 0.0000
C2 C 0.0000 0.0000 0.5000
N1 N 0.7585 0.9722 0.9992
N2 N 0.7585 0.0278 0.5008
N3 N 0.2415 0.9722 0.4992
N4 N 0.2415 0.0278 0.0008
# * calculated total energy: -6.502 eV per atom
# * formation energy without anion corrections: 4.71 kJ/mol of atoms
# * size of the total moment: 0.100 μB/atom
# * crystal system: monoclinic

---

4.
# PBE-GGA K3NpC2N6, relaxed
data_K3NpC2N6
_chemical_formula_sum 'K3 Np1 C2 N6'
_cell_length_a 5.5202
_cell_length_b 5.5202
_cell_length_c 6.9398
_cell_angle_alpha 90.00
_cell_angle_beta 90.00
_cell_angle_gamma 120.00
_space_group_name_H-M_alt 'P 1'
_space_group_IT_number 1
loop_
_space_group_symop_operation_xyz
'x,y,z'
loop_
_atom_site_label
_atom_site_type_symbol
_atom_site_fract_x
_atom_site_fract_y
_atom_site_fract_z
K1 K 0.3333 0.6667 0.7591
K2 K 0.6667 0.3333 0.2409
K3 K 0.0000 0.0000 0.0000
Np1 Np 0.0000 0.0000 0.5000
C1 C 0.6667 0.3333 0.6769
C2 C 0.3333 0.6667 0.3231
N1 N 0.6194 0.8097 0.3235
N2 N 0.1903 0.3806 0.3235
N3 N 0.1903 0.8097 0.3235
N4 N 0.8097 0.6194 0.6765
N5 N 0.3806 0.1903 0.6765
N6 N 0.8097 0.1903 0.6765
# * calculated total energy: -7.318 eV per atom
# * formation energy without anion corrections: -25.64 kJ/mol of atoms
# * size of the total moment: 0.050 μB/atom
# * crystal system: trigonal

---

5.
# PBE-GGA KCN2O, relaxed
data_KCN2O
_chemical_formula_sum 'K1 C1 N2 O1'
_cell_length_a 3.1423
_cell_length_b 3.1423
_cell_length_c 6.6446
_cell_angle_alpha 90.00
_cell_angle_beta 90.00
_cell_angle_gamma 90.00
_space_group_name_H-M_alt 'P 1'
_space_group_IT_number 1
loop_
_space_group_symop_operation_xyz
'x,y,z'
loop_
_atom_site_label
_atom_site_type_symbol
_atom_site_fract_x
_atom_site_fract_y
_atom_site_fract_z
K1 K 0.5000 0.5000 0.5000
C1 C 0.0000 0.0000 0.0000
O1 O 0.0000 0.0000 0.5000
N1 N 0.0000 0.5000 0.0000
N2 N 0.5000 0.0000 0.0000
# * calculated total energy: -4.617 eV per atom
# * formation energy without anion corrections: 170.67 kJ/mol of atoms
# * size of the total moment: 0.000 μB/atom
# * crystal system: tetragonal

---

6.
# PBE-GGA KCN2O, relaxed
data_KCN2O
_chemical_formula_sum 'K1 C1 N2 O1'
_cell_length_a 5.3567
_cell_length_b 5.3567
_cell_length_c 5.0858
_cell_angle_alpha 90.00
_cell_angle_beta 90.00
_cell_angle_gamma 90.00
_space_group_name_H-M_alt 'P 1'
_space_group_IT_number 1
loop_
_space_group_symop_operation_xyz
'x,y,z'
loop_
_atom_site_label
_atom_site_type_symbol
_atom_site_fract_x
_atom_site_fract_y
_atom_site_fract_z
K1 K 0.0000 0.0000 0.0000
C1 C 0.5000 0.5000 0.5000
O1 O 0.0000 0.0000 0.5000
N1 N 0.0000 0.5000 0.0000
N2 N 0.5000 0.0000 0.0000
# * calculated total energy: -2.958 eV per atom
# * formation energy without anion corrections: 330.77 kJ/mol of atoms
# * size of the total moment: 1.000 μB/atom
# * crystal system: tetragonal

---

7.
# PBE-GGA K2C7N4O, relaxed
data_K2C7N4O
_chemical_formula_sum 'K4 C14 N8 O2'
_cell_length_a 4.1798
_cell_length_b 8.1102
_cell_length_c 14.8089
_cell_angle_alpha 98.67
_cell_angle_beta 95.67
_cell_angle_gamma 92.28
_space_group_name_H-M_alt 'P 1'
_space_group_IT_number 1
loop_
_space_group_symop_operation_xyz
'x,y,z'
loop_
_atom_site_label
_atom_site_type_symbol
_atom_site_fract_x
_atom_site_fract_y
_atom_site_fract_z
K1 K 0.3132 0.1275 0.6232
K2 K 0.6868 0.8725 0.3767
K3 K 0.1840 0.8924 0.1215
K4 K 0.8160 0.1076 0.8785
C1 C 0.6735 0.5243 0.1802
C2 C 0.3265 0.4757 0.8198
C3 C 0.6600 0.3498 0.1713
C4 C 0.3400 0.6502 0.8287
C5 C 0.1238 0.2149 0.3779
C6 C 0.8762 0.7851 0.6221
C7 C 0.0018 0.6760 0.6796
C8 C 0.9982 0.3240 0.3204
C9 C 0.7988 0.2491 0.2371
C10 C 0.2012 0.7509 0.7629
C11 C 0.0905 0.4935 0.3470
C12 C 0.9095 0.5065 0.6530
C13 C 0.4848 0.2642 0.0911
C14 C 0.5152 0.7358 0.9089
N1 N 0.3244 0.3293 0.8152
N2 N 0.6756 0.6707 0.1848
N3 N 0.2282 0.1204 0.4248
N4 N 0.7718 0.8796 0.5752
N5 N 0.3383 0.1910 0.0240
N6 N 0.6617 0.8090 0.9760
N7 N 0.1726 0.6351 0.3708
N8 N 0.8274 0.3649 0.6292
O1 O 0.7464 0.0908 0.2210
O2 O 0.2536 0.9092 0.7790
# * calculated total energy: -7.656 eV per atom
# * formation energy without anion corrections: -14.92 kJ/mol of atoms
# * size of the total moment: 0.000 μB/atom
# * crystal system: triclinic

---

8.
# PBE-GGA KPC2N, relaxed
data_KPC2N
_chemical_formula_sum 'K1 P1 C2 N1'
_cell_length_a 3.5246
_cell_length_b 7.1792
_cell_length_c 3.5246
_cell_angle_alpha 90.00
_cell_angle_beta 90.00
_cell_angle_gamma 90.00
_space_group_name_H-M_alt 'P 1'
_space_group_IT_number 1
loop_
_space_group_symop_operation_xyz
'x,y,z'
loop_
_atom_site_label
_atom_site_type_symbol
_atom_site_fract_x
_atom_site_fract_y
_atom_site_fract_z
P1 P 0.0000 0.0000 0.0000
K1 K 0.0000 0.5000 0.0000
C1 C 0.0000 0.0000 0.5000
C2 C 0.5000 0.0000 0.0000
N1 N 0.5000 0.5000 0.5000
# * calculated total energy: -4.645 eV per atom
# * formation energy without anion corrections: 194.06 kJ/mol of atoms
# * size of the total moment: 0.446 μB/atom
# * crystal system: tetragonal

---

9.
# PBE-GGA K2PaC2N6, relaxed
data_K2PaC2N6
_chemical_formula_sum 'K2 Pa1 C2 N6'
_cell_length_a 5.5258
_cell_length_b 5.5258
_cell_length_c 7.1343
_cell_angle_alpha 112.79
_cell_angle_beta 90.00
_cell_angle_gamma 120.00
_space_group_name_H-M_alt 'P 1'
_space_group_IT_number 1
loop_
_space_group_symop_operation_xyz
'x,y,z'
loop_
_atom_site_label
_atom_site_type_symbol
_atom_site_fract_x
_atom_site_fract_y
_atom_site_fract_z
K1 K 0.7051 0.4101 0.1156
K2 K 0.2949 0.5899 0.8844
Pa1 Pa 0.5000 0.0000 0.5000
C1 C 0.9025 0.8050 0.7070
C2 C 0.0975 0.1950 0.2930
N1 N 0.7617 0.5233 0.7056
N2 N 0.2382 0.0553 0.2940
N3 N 0.1829 0.9447 0.7060
N4 N 0.7618 0.9447 0.7060
N5 N 0.8171 0.0553 0.2940
N6 N 0.2383 0.4767 0.2944
# * calculated total energy: -7.541 eV per atom
# * formation energy without anion corrections: -25.14 kJ/mol of atoms
# * size of the total moment: 0.076 μB/atom
# * crystal system: trigonal

---

10.
# PBE-GGA K3PaC2N6, relaxed
data_K3PaC2N6
_chemical_formula_sum 'K3 Pa1 C2 N6'
_cell_length_a 5.6268
_cell_length_b 5.6268
_cell_length_c 7.0549
_cell_angle_alpha 90.00
_cell_angle_beta 90.00
_cell_angle_gamma 120.00
_space_group_name_H-M_alt 'P 1'
_space_group_IT_number 1
loop_
_space_group_symop_operation_xyz
'x,y,z'
loop_
_atom_site_label
_atom_site_type_symbol
_atom_site_fract_x
_atom_site_fract_y
_atom_site_fract_z
K1 K 0.3333 0.6667 0.7552
K2 K 0.6667 0.3333 0.2448
K3 K 0.0000 0.0000 0.0000
Pa1 Pa 0.0000 0.0000 0.5000
C1 C 0.6667 0.3333 0.6852
C2 C 0.3333 0.6667 0.3148
N1 N 0.6124 0.8062 0.3165
N2 N 0.1938 0.3876 0.3165
N3 N 0.1938 0.8062 0.3165
N4 N 0.8062 0.6124 0.6835
N5 N 0.3876 0.1938 0.6835
N6 N 0.8062 0.1938 0.6835
# * calculated total energy: -7.134 eV per atom
# * formation energy without anion corrections: -35.57 kJ/mol of atoms
# * size of the total moment: 0.000 μB/atom
# * crystal system: trigonal

---

11.
# PBE-GGA K2PdCN, relaxed
data_K2PdCN
_chemical_formula_sum 'K2 Pd1 C1 N1'
_cell_length_a 5.8279
_cell_length_b 3.8368
_cell_length_c 5.8279
_cell_angle_alpha 90.00
_cell_angle_beta 90.00
_cell_angle_gamma 90.00
_space_group_name_H-M_alt 'P 1'
_space_group_IT_number 1
loop_
_space_group_symop_operation_xyz
'x,y,z'
loop_
_atom_site_label
_atom_site_type_symbol
_atom_site_fract_x
_atom_site_fract_y
_atom_site_fract_z
K1 K 0.0000 0.0000 0.5000
K2 K 0.5000 0.0000 0.0000
C1 C 0.0000 0.0000 0.0000
Pd1 Pd 0.0000 0.5000 0.0000
N1 N 0.5000 0.5000 0.5000
# * calculated total energy: -3.889 eV per atom
# * formation energy without anion corrections: 105.97 kJ/mol of atoms
# * size of the total moment: 0.457 μB/atom
# * crystal system: tetragonal

---

12.
# PBE-GGA KPm2C2N6, relaxed
data_KPm2C2N6
_chemical_formula_sum 'K1 Pm2 C2 N6'
_cell_length_a 6.3547
_cell_length_b 6.0440
_cell_length_c 6.3290
_cell_angle_alpha 110.68
_cell_angle_beta 89.99
_cell_angle_gamma 58.28
_space_group_name_H-M_alt 'P 1'
_space_group_IT_number 1
loop_
_space_group_symop_operation_xyz
'x,y,z'
loop_
_atom_site_label
_atom_site_type_symbol
_atom_site_fract_x
_atom_site_fract_y
_atom_site_fract_z
K1 K 0.5000 0.0000 0.5000
Pm1 Pm 0.8296 0.3409 0.8008
Pm2 Pm 0.1704 0.6591 0.1992
C1 C 0.1685 0.6632 0.7442
C2 C 0.8315 0.3368 0.2558
N1 N 0.3915 0.5713 0.8072
N2 N 0.9621 0.4293 0.1931
N3 N 0.0819 0.8362 0.6340
N4 N 0.0379 0.5707 0.8069
N5 N 0.9181 0.1638 0.3660
N6 N 0.6085 0.4287 0.1928
# * calculated total energy: -7.535 eV per atom
# * formation energy without anion corrections: -34.08 kJ/mol of atoms
# * size of the total moment: 0.089 μB/atom
# * crystal system: monoclinic